# 1
A crystal of La4ZrSb relaxed with PBEsol, computed with meta-GGA SCAN.

Lattice parameters (Å, degrees): 6.3022 6.3022 6.3022 60.00 60.00 60.00
Closest atoms and distances in Å follow each position.
Sites, in units of the cell vectors:
Zr (0.0000, 0.0000, 0.0000)  12 La 3.69, 4 Sb 3.86
Sb (0.7500, 0.7500, 0.7500)  12 La 3.70, 4 Zr 3.86
La (0.3742, 0.8773, 0.3742)  6 La 3.13-3.17
La (0.3742, 0.3742, 0.8773)  6 La 3.13-3.17
La (0.3742, 0.3742, 0.3742)  6 La 3.13-3.17
La (0.8773, 0.3742, 0.3742)  6 La 3.13-3.17

Calculated values
Symmetry   F-43m (216)

---

# 2
A crystal of LiTi3SbP6O24 relaxed with PBEsol, computed with meta-GGA SCAN.

Lattice parameters (Å, degrees): 8.5832 8.5832 8.6348 60.20 60.20 60.00
Closest atoms and distances in Å follow each position.
Sites, in units of the cell vectors:
O (0.2851, 0.5056, 0.0722)  1 P 1.51
O (0.4176, 0.5556, 0.2438)  1 P 1.53
O (0.2678, 0.0586, 0.7539)  1 P 1.54
O (0.0042, 0.1887, 0.4285)  1 P 1.54
O (0.5556, 0.7830, 0.2438)  1 P 1.53
O (0.2161, 0.5803, 0.7628)  1 P 1.53
O (0.5803, 0.4408, 0.7628)  1 P 1.53
O (0.4408, 0.2161, 0.7628)  1 P 1.53
O (0.7347, 0.9417, 0.2432)  1 P 1.58
O (0.0586, 0.9198, 0.7539)  1 P 1.54
O (0.4984, 0.8603, 0.9282)  1 P 1.52
O (0.0105, 0.8012, 0.5690)  1 P 1.56
O (0.7132, 0.4984, 0.9282)  1 P 1.52
O (0.3786, 0.0042, 0.4285)  1 P 1.54
O (0.9198, 0.2678, 0.7539)  1 P 1.54
O (0.1370, 0.2851, 0.0722)  1 P 1.51
O (0.8012, 0.6192, 0.5690)  1 P 1.56
O (0.0803, 0.7347, 0.2432)  1 P 1.58
O (0.6192, 0.0105, 0.5690)  1 P 1.56
O (0.8603, 0.7132, 0.9282)  1 P 1.52
O (0.5056, 0.1370, 0.0722)  1 P 1.51
O (0.9417, 0.0803, 0.2432)  1 P 1.58
O (0.1887, 0.3786, 0.4285)  1 P 1.54
O (0.7830, 0.4176, 0.2438)  1 P 1.53
P (0.7519, 0.4562, 0.7590)  4 O 1.52-1.56
P (0.2477, 0.5381, 0.2466)  4 O 1.51-1.58
P (0.4562, 0.0329, 0.7590)  4 O 1.52-1.56
P (0.9676, 0.2477, 0.2466)  4 O 1.51-1.58
P (0.0329, 0.7519, 0.7590)  4 O 1.52-1.56
P (0.5381, 0.9676, 0.2466)  4 O 1.51-1.58
Ti (0.1431, 0.1431, 0.5707)  6 O 1.90-1.98
Ti (0.3627, 0.3627, 0.9119)  6 O 1.90-1.95
Ti (0.6357, 0.6357, 0.0930)  6 O 1.91-1.95
Sb (0.8572, 0.8572, 0.4285)  6 O 1.95-1.99
Li (0.0086, 0.0086, 0.9743)  6 O 2.17-2.42

Calculated values
Symmetry   R3 (146)

---

# 3
A crystal of Li2ScAgSe relaxed with PBEsol, computed with meta-GGA SCAN.

Lattice parameters (Å, degrees): 4.9528 5.2327 5.2327 90.00 90.00 90.00
Closest atoms and distances in Å follow each position.
Sites, in units of the cell vectors:
Li (0.0000, 0.5000, 0.0000)  2 Sc 2.62
Li (0.0000, 0.0000, 0.5000)  2 Sc 2.62
Se (0.5000, 0.5000, 0.5000)  8 Li 3.60, 4 Ag 3.70
Ag (0.5000, 0.0000, 0.0000)  2 Sc 2.48
Sc (0.0000, 0.0000, 0.0000)  2 Ag 2.48, 4 Li 2.62

Calculated values
Symmetry   P4/mmm (123)

---

# 4
A crystal of CsAl3F relaxed with PBEsol, computed with meta-GGA SCAN.

Lattice parameters (Å, degrees): 6.3146 6.3146 6.3146 90.00 90.00 90.00
Closest atoms and distances in Å follow each position.
Sites, in units of the cell vectors:
Al (0.5000, 0.0000, 0.0000)  2 Cs 3.16
Al (0.0000, 0.5000, 0.0000)  2 Cs 3.16
Al (0.0000, 0.0000, 0.5000)  2 Cs 3.16
F (0.5000, 0.5000, 0.5000)  12 Al 4.47
Cs (0.0000, 0.0000, 0.0000)  6 Al 3.16

Calculated values
Symmetry   Pm-3m (221)

---

Raw total energy: -39.86; -11.19; -13.27; -11.38 (eV/atom)